1.
# CaMo2Pb

CaMo2Pb after structural relaxation (PBE, Alexandria via LeMat-Bulk).

a b c (Å): 8.0900 8.0900 5.6126
angles (deg): 90.00 90.00 90.00
Last column: nearest neighbours and their distance in Å.
Space group I-42d (No. 122)
Inequivalent atoms, fractional coordinates:
Ca 0.0000 0.0000 0.0000  2 Pb 2.81, 4 Mo 3.14
Mo 0.2165 0.2500 0.6250  2 Pb 2.77, 2 Mo 2.86
Pb 0.0000 0.0000 0.5000  4 Mo 2.77, 2 Ca 2.81

Values from the calculation:
Formation energy from the elements (kJ per mole of atoms): 116


2.
# CaMoPb3

CaMoPb3 after structural relaxation (PBE, Alexandria via LeMat-Bulk).

a b c (Å): 5.4394 5.4394 5.4394
angles (deg): 90.00 90.00 90.00
Last column: nearest neighbours and their distance in Å.
Space group Pm-3m (No. 221)
Inequivalent atoms, fractional coordinates:
Ca 0.0000 0.0000 0.0000  12 Pb 3.85
Mo 0.5000 0.5000 0.5000  6 Pb 2.72
Pb 0.0000 0.5000 0.5000  2 Mo 2.72

Values from the calculation:
Formation energy from the elements (kJ per mole of atoms): 30
Energy relative to the lowest polymorph listed for this composition (meV per atom): 0